Entry 1:
A plane-wave DFT calculation with GGA-PBE was carried out for a geometry-optimized BaSb2TeBr structure.

Unit cell a=5.5807 b=5.5807 c=5.9492 alpha=90.00 beta=90.00 gamma=90.00
Positions (direct):
Ba 0.0000 0.0000 0.0000
Sb 0.0000 0.5000 0.5000
Sb 0.5000 0.0000 0.5000
Te 0.5000 0.5000 0.0000
Br 0.5000 0.5000 0.5000

## Properties
For the uncorrected formation energy, the calculation gives -0.11 eV per formula unit. The value obtained for the total energy is -3.0188 eV per atom. The value obtained for the polymorph energy (0 for the lowest one) is 0.000 eV/atom.

---

Entry 2:
A plane-wave DFT calculation with GGA-PBE was carried out for a geometry-optimized BaTlSbBr structure.

Unit cell a=5.7849 b=5.7849 c=5.7849 alpha=60.00 beta=60.00 gamma=60.00
Positions (direct):
Ba 0.0000 0.0000 0.0000
Tl 0.5000 0.5000 0.5000
Sb 0.7500 0.7500 0.7500
Br 0.2500 0.2500 0.2500

## Properties
For the uncorrected formation energy, the calculation gives -3.39 eV per formula unit. The value obtained for the total energy is -3.3675 eV per atom.

---

Entry 3:
A plane-wave DFT calculation with GGA-PBE was carried out for a geometry-optimized Ba2VSbBr structure.

Unit cell a=6.2469 b=6.2469 c=4.7421 alpha=90.00 beta=90.00 gamma=90.00
Positions (direct):
Ba 0.0000 0.5000 0.0000
Ba 0.5000 0.0000 0.0000
V 0.0000 0.0000 0.5000
Sb 0.5000 0.5000 0.5000
Br 0.0000 0.0000 0.0000

## Properties
For the uncorrected formation energy, the calculation gives -0.42 eV per formula unit. The value obtained for the total energy is -3.8368 eV per atom.

---

Entry 4:
A plane-wave DFT calculation with GGA-PBE was carried out for a geometry-optimized BaScBr2 structure.

Unit cell a=4.0101 b=4.0101 c=7.7801 alpha=90.00 beta=90.00 gamma=90.00
Positions (direct):
Ba 0.0000 0.0000 0.0000
Sc 0.5000 0.5000 0.6263
Br 0.0000 0.0000 0.5556
Br 0.5000 0.5000 0.2525

## Properties
For the uncorrected formation energy, the calculation gives -4.41 eV per formula unit. The value obtained for the total energy is -4.0013 eV per atom. The value obtained for the polymorph energy (0 for the lowest one) is 0.000 eV/atom.

---

Entry 5:
A plane-wave DFT calculation with GGA-PBE was carried out for a geometry-optimized BaScBr structure.

Unit cell a=5.3734 b=5.3734 c=5.3734 alpha=60.00 beta=60.00 gamma=60.00
Positions (direct):
Ba 0.0000 0.0000 0.0000
Sc 0.5000 0.5000 0.5000
Br 0.2500 0.2500 0.2500

## Properties
For the uncorrected formation energy, the calculation gives -0.53 eV per formula unit. The value obtained for the total energy is -3.4860 eV per atom. The value obtained for the polymorph energy (0 for the lowest one) is 0.389 eV/atom.

---

Entry 6:
A plane-wave DFT calculation with GGA-PBE was carried out for a geometry-optimized Ba3ScBr structure.

Unit cell a=6.4749 b=6.4749 c=6.4749 alpha=90.00 beta=90.00 gamma=90.00
Positions (direct):
Ba 0.0000 0.0000 0.5000
Ba 0.0000 0.5000 0.0000
Ba 0.5000 0.0000 0.0000
Sc 0.0000 0.0000 0.0000
Br 0.5000 0.5000 0.5000

## Properties
For the uncorrected formation energy, the calculation gives 0.78 eV per formula unit. The value obtained for the total energy is -2.5991 eV per atom.

---

Entry 7:
A plane-wave DFT calculation with GGA-PBE was carried out for a geometry-optimized BaSc3Br structure.

Unit cell a=5.5246 b=5.5246 c=5.5246 alpha=90.00 beta=90.00 gamma=90.00
Positions (direct):
Ba 0.0000 0.0000 0.0000
Sc 0.0000 0.0000 0.5000
Sc 0.0000 0.5000 0.0000
Sc 0.5000 0.0000 0.0000
Br 0.5000 0.5000 0.5000

## Properties
For the uncorrected formation energy, the calculation gives 5.96 eV per formula unit. The value obtained for the total energy is -3.3256 eV per atom. The value obtained for the polymorph energy (0 for the lowest one) is 1.133 eV/atom.

---

Entry 8:
A plane-wave DFT calculation with GGA-PBE was carried out for a geometry-optimized BaScBr2 structure.

Unit cell a=3.8406 b=5.2891 c=6.5852 alpha=90.00 beta=106.89 gamma=90.00
Positions (direct):
Ba 0.0000 0.0000 0.0000
Sc 0.3011 0.5000 0.6001
Br 0.2834 0.0000 0.5651
Br 0.6294 0.5000 0.2557

## Properties
For the uncorrected formation energy, the calculation gives -4.25 eV per formula unit. The value obtained for the total energy is -3.9614 eV per atom. The value obtained for the polymorph energy (0 for the lowest one) is 0.040 eV/atom.

---

Entry 9:
A plane-wave DFT calculation with GGA-PBE was carried out for a geometry-optimized BaScBr2 structure.

Unit cell a=7.6588 b=7.6588 c=7.6588 alpha=146.33 beta=146.33 gamma=48.36
Positions (direct):
Ba 0.0000 0.0000 0.0000
Sc 0.7500 0.2500 0.5000
Br 0.2500 0.7500 0.5000
Br 0.5000 0.5000 0.0000

## Properties
For the uncorrected formation energy, the calculation gives -3.30 eV per formula unit. The value obtained for the total energy is -3.7242 eV per atom. The value obtained for the polymorph energy (0 for the lowest one) is 0.277 eV/atom.

---

Entry 10:
A plane-wave DFT calculation with GGA-PBE was carried out for a geometry-optimized BaScBr3 structure.

Unit cell a=5.3618 b=5.3618 c=5.3618 alpha=90.00 beta=90.00 gamma=90.00
Positions (direct):
Ba 0.0000 0.0000 0.0000
Sc 0.5000 0.5000 0.5000
Br 0.0000 0.5000 0.5000
Br 0.5000 0.0000 0.5000
Br 0.5000 0.5000 0.0000

## Properties
For the uncorrected formation energy, the calculation gives -6.90 eV per formula unit. The value obtained for the total energy is -4.0345 eV per atom. The value obtained for the polymorph energy (0 for the lowest one) is 0.000 eV/atom.

---

Entry 11:
A plane-wave DFT calculation with GGA-PBE was carried out for a geometry-optimized BaScBr structure.

Unit cell a=8.2543 b=7.9162 c=3.7467 alpha=81.69 beta=71.62 gamma=26.69
Positions (direct):
Ba 0.0000 0.0000 0.0000
Sc 0.3118 0.3118 0.6882
Br 0.6814 0.6814 0.3186

## Properties
For the uncorrected formation energy, the calculation gives -1.51 eV per formula unit. The value obtained for the total energy is -3.8112 eV per atom. The value obtained for the polymorph energy (0 for the lowest one) is 0.064 eV/atom.

---

Entry 12:
A plane-wave DFT calculation with GGA-PBE was carried out for a geometry-optimized BaScBr2 structure.

Unit cell a=4.8485 b=4.8485 c=6.9822 alpha=104.83 beta=104.83 gamma=48.16
Positions (direct):
Ba 0.0000 0.0000 0.0000
Sc 0.5000 0.5000 0.5000
Br 0.2304 0.2304 0.6957
Br 0.7696 0.7696 0.3043

## Properties
For the uncorrected formation energy, the calculation gives -4.09 eV per formula unit. The value obtained for the total energy is -3.9223 eV per atom. The value obtained for the polymorph energy (0 for the lowest one) is 0.079 eV/atom.

---

Entry 13:
A plane-wave DFT calculation with GGA-PBE was carried out for a geometry-optimized BaScBr2 structure.

Unit cell a=9.8910 b=9.8910 c=9.8910 alpha=146.20 beta=146.20 gamma=48.55
Positions (direct):
Ba 0.0000 0.0000 0.0000
Ba 0.7500 0.2500 0.5000
Sc 0.2500 0.7500 0.5000
Sc 0.5000 0.5000 0.0000
Br 0.2010 0.6250 0.0760
Br 0.3750 0.4510 0.5760
Br 0.5490 0.1250 0.9240
Br 0.8750 0.7990 0.4240

## Properties
For the uncorrected formation energy, the calculation gives -3.64 eV per formula unit. The value obtained for the total energy is -3.8096 eV per atom. The value obtained for the polymorph energy (0 for the lowest one) is 0.192 eV/atom.

---

Entry 14:
A plane-wave DFT calculation with GGA-PBE was carried out for a geometry-optimized BaScBr2 structure.

Unit cell a=6.2637 b=6.2637 c=6.2637 alpha=143.80 beta=114.69 gamma=77.01
Positions (direct):
Ba 0.0000 0.0000 0.0000
Sc 0.5000 0.5000 0.0000
Br 0.2988 0.7988 0.5000
Br 0.7012 0.2012 0.5000

## Properties
For the uncorrected formation energy, the calculation gives -4.21 eV per formula unit. The value obtained for the total energy is -3.9529 eV per atom. The value obtained for the polymorph energy (0 for the lowest one) is 0.048 eV/atom.

---

Entry 15:
A plane-wave DFT calculation with GGA-PBE was carried out for a geometry-optimized BaSc3Br structure.

Unit cell a=5.3050 b=5.3050 c=5.3050 alpha=90.00 beta=90.00 gamma=90.00
Positions (direct):
Ba 0.0000 0.0000 0.0000
Sc 0.0000 0.5000 0.5000
Sc 0.5000 0.0000 0.5000
Sc 0.5000 0.5000 0.0000
Br 0.5000 0.5000 0.5000

## Properties
For the uncorrected formation energy, the calculation gives 0.30 eV per formula unit. The value obtained for the total energy is -4.4589 eV per atom. The value obtained for the polymorph energy (0 for the lowest one) is 0.000 eV/atom.

---

Entry 16:
A plane-wave DFT calculation with GGA-PBE was carried out for a geometry-optimized BaScBr3 structure.

Unit cell a=6.2496 b=6.2496 c=6.2496 alpha=90.00 beta=90.00 gamma=90.00
Positions (direct):
Ba 0.0000 0.0000 0.0000
Sc 0.5000 0.5000 0.5000
Br 0.0000 0.0000 0.5000
Br 0.0000 0.5000 0.0000
Br 0.5000 0.0000 0.0000

## Properties
For the uncorrected formation energy, the calculation gives -4.25 eV per formula unit. The value obtained for the total energy is -3.5041 eV per atom. The value obtained for the polymorph energy (0 for the lowest one) is 0.530 eV/atom.

---

Entry 17:
A plane-wave DFT calculation with GGA-PBE was carried out for a geometry-optimized BaScBr2 structure.

Unit cell a=5.0756 b=5.0756 c=7.4138 alpha=101.01 beta=101.01 gamma=44.90
Positions (direct):
Ba 0.0000 0.0000 0.0000
Sc 0.7411 0.7411 0.4038
Br 0.2342 0.2342 0.6976
Br 0.4438 0.4438 0.3506

## Properties
For the uncorrected formation energy, the calculation gives -4.14 eV per formula unit. The value obtained for the total energy is -3.9360 eV per atom. The value obtained for the polymorph energy (0 for the lowest one) is 0.065 eV/atom.

---

Entry 18:
A plane-wave DFT calculation with GGA-PBE was carried out for a geometry-optimized BaScBr structure.

Unit cell a=7.5700 b=7.5700 c=7.5700 alpha=151.71 beta=151.71 gamma=40.44
Positions (direct):
Ba 0.0000 0.0000 0.0000
Sc 0.6949 0.6949 0.0000
Br 0.3175 0.3175 0.0000

## Properties
For the uncorrected formation energy, the calculation gives -1.40 eV per formula unit. The value obtained for the total energy is -3.7756 eV per atom. The value obtained for the polymorph energy (0 for the lowest one) is 0.100 eV/atom.

---

Entry 19:
A plane-wave DFT calculation with GGA-PBE was carried out for a geometry-optimized BaScBr structure.

Unit cell a=5.8865 b=5.8865 c=5.8865 alpha=60.00 beta=60.00 gamma=60.00
Positions (direct):
Ba 0.0000 0.0000 0.0000
Sc 0.7500 0.7500 0.7500
Br 0.2500 0.2500 0.2500

## Properties
For the uncorrected formation energy, the calculation gives 0.65 eV per formula unit. The value obtained for the total energy is -3.0932 eV per atom. The value obtained for the polymorph energy (0 for the lowest one) is 0.782 eV/atom.

---

Entry 20:
A plane-wave DFT calculation with GGA-PBE was carried out for a geometry-optimized BaScBr2 structure.

Unit cell a=3.8822 b=4.9866 c=6.9535 alpha=90.00 beta=90.00 gamma=90.00
Positions (direct):
Ba 0.0000 0.0000 0.0000
Sc 0.5000 0.0000 0.5000
Br 0.0000 0.5000 0.5000
Br 0.5000 0.5000 0.0000

## Properties
For the uncorrected formation energy, the calculation gives -3.61 eV per formula unit. The value obtained for the total energy is -3.8026 eV per atom. The value obtained for the polymorph energy (0 for the lowest one) is 0.199 eV/atom.